Entry 1:
IrPb2Au | PBE | relaxed

Summary:
The uncorrected energy comes out at -4.547 eV per atom. The calculation puts the density of states at the Fermi level at 0.4495 states/eV/atom. Its formation energy is 0.34 eV per atom. As for the energy above the most stable polymorph in this dataset: 14.9 kJ per mole of atoms.

The structure in POSCAR format:
```
IrPb2Au
1.0
-4.478 4.478 2.715
4.478 -4.478 2.715
4.478 4.478 -2.715
Ir Pb Au
2 4 2
Direct
0.000 0.000 0.000 Ir
0.750 0.250 0.500 Ir
0.022 0.625 0.897 Pb
0.375 0.272 0.397 Pb
0.728 0.125 0.103 Pb
0.875 0.978 0.603 Pb
0.250 0.750 0.500 Au
0.500 0.500 0.000 Au
```


Entry 2:
Ce3Ga3Si2 | PBE | relaxed

Summary:
The uncorrected energy comes out at -5.295 eV per atom. The calculation puts the density of states at the Fermi level at 1.9974 states/eV/atom. As for the energy above the most stable polymorph in this dataset: 0.0 kJ per mole of atoms.

The structure in POSCAR format:
```
Ce3Ga3Si2
1.0
2.048 -5.583 0.000
2.048 5.583 0.000
0.000 0.000 15.627
Ce Ga Si
6 6 4
Direct
0.061 0.939 0.750 Ce
0.353 0.647 0.592 Ce
0.353 0.647 0.908 Ce
0.647 0.353 0.092 Ce
0.647 0.353 0.408 Ce
0.939 0.061 0.250 Ce
0.074 0.926 0.556 Ga
0.074 0.926 0.944 Ga
0.208 0.792 0.250 Ga
0.792 0.208 0.750 Ga
0.926 0.074 0.056 Ga
0.926 0.074 0.444 Ga
0.354 0.646 0.122 Si
0.354 0.646 0.378 Si
0.646 0.354 0.622 Si
0.646 0.354 0.878 Si
```